(1)
SiTcSb2Te | GGA-PBE | relaxed

Structure (POSCAR):
```
SiTcSb2Te
1.0
5.0595 0.0000 0.0000
0.0000 5.0595 0.0000
0.0000 0.0000 5.4160
Sb Si Tc Te
2 1 1 1
Direct
0.0000 0.5000 0.0000
0.5000 0.0000 0.0000
0.5000 0.5000 0.5000
0.0000 0.0000 0.0000
0.0000 0.0000 0.5000
```

Properties
E above lowest polymorph = 0.00 kJ/mol of atoms
ΔE_f (raw) = 0.808 eV per atom



(2)
Ti2SiTcSb | GGA-PBE | relaxed

Structure (POSCAR):
```
Ti2SiTcSb
1.0
-2.3847 4.1702 -1.3963
-4.3826 -2.2320 0.8189
0.0598 1.6190 4.7331
Tc Ti Si Sb
1 2 1 1
Direct
0.5000 0.5000 0.5000
0.0000 0.0000 0.5000
0.5000 0.0000 0.0000
0.0000 0.5000 0.0000
0.0000 0.0000 0.0000
```

Properties
ΔE_f (raw) = 1.568 eV per atom